(1)
Compound: Ac6OsN2
Source: Alexandria via LeMat-Bulk
Functional: GGA-PBE
Structure: relaxed

Cell: 14.0292 12.5829 7.4023 Å, 90.00 101.54 90.00°
Closest atoms and distances in Å follow each position.
Space group C2/c (No. 15)
Symmetry-distinct sites (fractional):
Ac1 0.1228 0.0779 0.1244  1 N 2.59
Ac2 0.1252 0.2644 0.6283  1 N 2.47
Ac3 0.1384 0.4263 0.1168  2 N 2.44-2.47
Os1 0.0000 0.1063 0.7500  6 Ac 2.91-3.14
N1 0.1890 0.4195 0.8198  4 Ac 2.44-2.59

Its formation energy without anion corrections is -445 meV/atom. The total magnetization comes out at 0.00 μB/cell. Its crystal system is monoclinic.

***

(2)
Compound: Ac5OsN6
Source: Alexandria via LeMat-Bulk
Functional: GGA-PBE
Structure: relaxed

Cell: 6.4901 11.1609 6.4201 Å, 90.00 109.91 90.00°
Closest atoms and distances in Å follow each position.
Space group C2/m (No. 12)
Symmetry-distinct sites (fractional):
Ac1 0.0000 0.0000 0.0000  6 N 2.64-2.77
Ac2 0.0000 0.1683 0.5000  6 N 2.64-2.68
Ac3 0.0000 0.3388 0.0000  4 N 2.54-2.65
Os1 0.0000 0.5000 0.5000  6 N 2.29-2.52
N1 0.2180 0.3552 0.7200  1 Os 2.29
N2 0.2302 0.5000 0.2543  1 Os 2.52, 5 Ac 2.54-2.77

Its formation energy without anion corrections is -591 meV/atom. The total magnetization comes out at 0.00 μB/cell. Its crystal system is monoclinic.

***

(3)
Compound: Ac8Os2N
Source: Alexandria via LeMat-Bulk
Functional: GGA-PBE
Structure: relaxed

Cell: 19.3063 4.0557 9.9152 Å, 90.00 91.05 90.00°
Closest atoms and distances in Å follow each position.
Space group C2/m (No. 12)
Symmetry-distinct sites (fractional):
Ac1 0.0092 0.0000 0.1859  2 N 2.74
Ac2 0.0981 0.5000 0.5464  2 Os 3.00
Ac3 0.1410 0.5000 0.9700  1 N 2.74, 2 Os 3.02
Ac4 0.2288 0.0000 0.3177  2 Os 3.16
Os1 0.1509 0.0000 0.7458  7 Ac 3.00-3.18
N1 0.0000 0.5000 0.0000  6 Ac 2.74

Its formation energy without anion corrections is -169 meV/atom. The total magnetization comes out at 0.00 μB/cell. Its crystal system is monoclinic.

***

(4)
Compound: AcOsN2
Source: Alexandria via LeMat-Bulk
Functional: GGA-PBE
Structure: relaxed

Cell: 3.5118 3.5118 18.1859 Å, 90.00 90.00 120.00°
Closest atoms and distances in Å follow each position.
Space group R-3m (No. 166, hexagonal axes)
Symmetry-distinct sites (fractional):
Ac1 0.0000 0.0000 0.0000  2 N 2.43
Os1 0.0000 0.0000 0.5000  6 N 2.12
N1 0.0000 0.0000 0.1334  3 Os 2.12, 3 N 2.36

Its formation energy without anion corrections is 466 meV/atom. The total magnetization comes out at 0.00 μB/cell. Its crystal system is trigonal.

***

(5)
Compound: AcOsN3
Source: Alexandria via LeMat-Bulk
Functional: GGA-PBE
Structure: relaxed

Cell: 3.9982 3.9982 3.9982 Å, 90.00 90.00 90.00°
Closest atoms and distances in Å follow each position.
Space group Pm-3m (No. 221)
Symmetry-distinct sites (fractional):
Ac1 0.0000 0.0000 0.0000  12 N 2.83
Os1 0.5000 0.5000 0.5000  6 N 2.00
N1 0.0000 0.5000 0.5000  2 Os 2.00

Its formation energy without anion corrections is -323 meV/atom. The total magnetization comes out at 0.00 μB/cell. Its crystal system is cubic.

***

(6)
Compound: Ac3Os2N8
Source: Alexandria via LeMat-Bulk
Functional: GGA-PBE
Structure: relaxed

Cell: 5.8015 5.8015 21.3398 Å, 90.00 90.00 120.00°
Closest atoms and distances in Å follow each position.
Space group R-3m (No. 166, hexagonal axes)
Symmetry-distinct sites (fractional):
Ac1 0.0000 0.0000 0.0000  6 N 2.74
Ac2 0.0000 0.0000 0.2050  4 N 2.49-2.74
Os1 0.0000 0.0000 0.4059  4 N 1.80-1.81
N1 0.0000 0.0000 0.3217  1 Os 1.80
N2 0.0050 0.5025 0.7689  1 Os 1.81

Its formation energy without anion corrections is -554 meV/atom. The total magnetization comes out at 0.00 μB/cell. Its crystal system is trigonal.